## POsCl2F (PBE)

Data for crystalline POsCl2F at its relaxed geometry.

Output
Symmetry: No. 123
Relative energy among the computed polymorphs, meV/atom: 0
N(E_F), states/eV per cell: 4.6
Energy relative to the elements, uncorrected, eV per atom: 0.20
Total moment, μB/f.u.: 0.00

a = 4.764 Å, b = 4.764 Å, c = 4.513 Å
α = 90.00°, β = 90.00°, γ = 90.00°
Positions (direct):
P (0.000, 0.000, 0.000)
Os (0.000, 0.000, 0.500)
Cl (0.000, 0.500, 0.500)
Cl (0.500, 0.000, 0.500)
F (0.500, 0.500, 0.000)